A plane-wave DFT calculation with GGA-PBE was carried out for a geometry-optimized IrWSe2 structure.

Calculated values
space group	Fm-3m (225)
distance to the lowest polymorph of the same formula	483	meV/atom
crystal system	cubic
energy relative to the elements, uncorrected	517	meV/atom

abc: 4.4822 4.4822 4.4822
angles: 60.00 60.00 60.00
Sites, in units of the cell vectors:
W 0.0000 0.0000 0.0000
Se 0.2500 0.2500 0.2500
Se 0.7500 0.7500 0.7500
Ir 0.5000 0.5000 0.5000